# LaP2Se

A PBEsol-optimized structure of LaP2Se (SCAN, the Alexandria database).

Properties
DOS at the Fermi energy = 1.23 states/eV per cell
energy relative to the elements, uncorrected = -0.591 eV/atom
symmetry = P4mm (99)

a b c (Å): 3.737 3.737 6.046
angles (deg): 90.00 90.00 90.00
Element x y z (fractional)
La: 0.000 0.000 0.000
P: 0.000 0.000 0.460
P: 0.500 0.500 0.367
Se: 0.500 0.500 0.798